Here is a relaxed PmPr3S6 crystal from Alexandria via LeMat-Bulk. Energies are from GGA-PBE. Values from VASP.

Structure (Quantum ESPRESSO input):
```
&SYSTEM
  ibrav = 0, nat = 20, ntyp = 3
/
ATOMIC_SPECIES
Pm 145.00 Pm.upf
Pr 140.91 Pr.upf
S 32.06 S.upf
CELL_PARAMETERS angstrom
11.407 0.000 0.000
0.000 4.131 0.000
-3.605 0.000 11.152
ATOMIC_POSITIONS crystal
Pm 0.044 0.250 0.187
Pm 0.956 0.750 0.813
Pr 0.161 0.250 0.583
Pr 0.317 0.750 0.994
Pr 0.428 0.250 0.330
Pr 0.572 0.750 0.670
Pr 0.683 0.250 0.006
Pr 0.839 0.750 0.417
S 0.083 0.750 0.400
S 0.109 0.250 0.961
S 0.185 0.750 0.749
S 0.250 0.750 0.220
S 0.403 0.250 0.567
S 0.477 0.250 0.111
S 0.523 0.750 0.889
S 0.597 0.750 0.433
S 0.750 0.250 0.780
S 0.815 0.250 0.251
S 0.891 0.750 0.039
S 0.917 0.250 0.600
```

Computed properties:
- formation energy from raw total energies (kJ per mole of atoms) = -195.1
- E above lowest polymorph (meV per atom) = 9
- raw total energy (eV/cell) = -128.1

***

Here is a relaxed Pm3PrS crystal from Alexandria via LeMat-Bulk. Energies are from GGA-PBE. Values from VASP.

Structure (Quantum ESPRESSO input):
```
&SYSTEM
  ibrav = 0, nat = 5, ntyp = 3
/
ATOMIC_SPECIES
Pm 145.00 Pm.upf
Pr 140.91 Pr.upf
S 32.06 S.upf
CELL_PARAMETERS angstrom
5.489 0.000 0.000
0.000 5.489 0.000
0.000 0.000 5.489
ATOMIC_POSITIONS crystal
Pm 0.000 0.000 0.500
Pm 0.000 0.500 0.000
Pm 0.500 0.000 0.000
Pr 0.500 0.500 0.500
S 0.000 0.000 0.000
```

Computed properties:
- formation energy from raw total energies (kJ per mole of atoms) = -66.1
- N(E_F) (states/eV per cell) = 6.6
- raw total energy (eV/cell) = -26.6

***

Here is a relaxed PmPrSc2S4 crystal from Alexandria via LeMat-Bulk. Energies are from GGA-PBE. Values from VASP.

Structure (Quantum ESPRESSO input):
```
&SYSTEM
  ibrav = 0, nat = 8, ntyp = 4
/
ATOMIC_SPECIES
Pm 145.00 Pm.upf
Pr 140.91 Pr.upf
Sc 44.96 Sc.upf
S 32.06 S.upf
CELL_PARAMETERS angstrom
6.644 0.000 0.000
0.000 3.815 0.000
-2.201 0.000 6.527
ATOMIC_POSITIONS crystal
Pm 0.000 0.000 0.000
Pr 0.500 0.500 0.000
Sc 0.000 0.500 0.500
Sc 0.500 0.000 0.500
S 0.236 0.000 0.718
S 0.258 0.500 0.280
S 0.742 0.500 0.720
S 0.764 0.000 0.282
```

Computed properties:
- formation energy from raw total energies (kJ per mole of atoms) = -186.0
- N(E_F) (states/eV per cell) = 4.0
- raw total energy (eV/cell) = -54.1

***

Here is a relaxed PmPr2ScS4 crystal from Alexandria via LeMat-Bulk. Energies are from GGA-PBE. Values from VASP.

Structure (Quantum ESPRESSO input):
```
&SYSTEM
  ibrav = 0, nat = 8, ntyp = 4
/
ATOMIC_SPECIES
Pm 145.00 Pm.upf
Pr 140.91 Pr.upf
Sc 44.96 Sc.upf
S 32.06 S.upf
CELL_PARAMETERS angstrom
6.899 0.000 0.000
0.000 3.937 0.000
-2.251 0.000 6.630
ATOMIC_POSITIONS crystal
Pm 0.000 0.000 0.000
Pr 0.000 0.500 0.500
Pr 0.500 0.000 0.500
Sc 0.500 0.500 0.000
S 0.258 0.500 0.234
S 0.272 0.000 0.775
S 0.728 0.000 0.225
S 0.742 0.500 0.766
```

Computed properties:
- formation energy from raw total energies (kJ per mole of atoms) = -188.4
- N(E_F) (states/eV per cell) = 4.7
- raw total energy (eV/cell) = -52.8

***

Here is a relaxed Pm2Pr2Se3S2 crystal from Alexandria via LeMat-Bulk. Energies are from GGA-PBE. Values from VASP.

Structure (Quantum ESPRESSO input):
```
&SYSTEM
  ibrav = 0, nat = 9, ntyp = 4
/
ATOMIC_SPECIES
Pm 145.00 Pm.upf
Pr 140.91 Pr.upf
Se 78.96 Se.upf
S 32.06 S.upf
CELL_PARAMETERS angstrom
-2.882 2.882 7.271
2.882 -2.882 7.271
2.882 2.882 -7.271
ATOMIC_POSITIONS crystal
Pm 0.000 0.500 0.500
Pm 0.500 0.000 0.500
Pr 0.214 0.214 0.000
Pr 0.786 0.786 0.000
Se 0.000 0.000 0.000
Se 0.250 0.750 0.500
Se 0.750 0.250 0.500
S 0.403 0.403 0.000
S 0.597 0.597 0.000
```

Computed properties:
- formation energy from raw total energies (kJ per mole of atoms) = -155.5
- N(E_F) (states/eV per cell) = 5.5
- raw total energy (eV/cell) = -52.3

***

Here is a relaxed PmPrSeS crystal from Alexandria via LeMat-Bulk. Energies are from GGA-PBE. Values from VASP.

Structure (Quantum ESPRESSO input):
```
&SYSTEM
  ibrav = 0, nat = 4, ntyp = 4
/
ATOMIC_SPECIES
Pm 145.00 Pm.upf
Pr 140.91 Pr.upf
Se 78.96 Se.upf
S 32.06 S.upf
CELL_PARAMETERS angstrom
2.071 1.196 6.826
-2.071 1.196 6.826
0.000 -2.391 6.826
ATOMIC_POSITIONS crystal
Pm 0.000 0.000 0.000
Pr 0.484 0.484 0.484
Se 0.244 0.244 0.244
S 0.740 0.740 0.740
```

Computed properties:
- formation energy from raw total energies (kJ per mole of atoms) = -187.6
- N(E_F) (states/eV per cell) = 1.3
- raw total energy (eV/cell) = -24.9